(1)
Er2ThTc9 after structural relaxation, computed with PBE.

a = 5.340 Å, b = 5.340 Å, c = 9.348 Å
α = 73.40°, β = 73.40°, γ = 60.00°
Fractional coordinates of all 12 atoms:
Er 0.857 0.857 0.430
Er 0.143 0.143 0.570
Th 0.000 0.000 0.000
Tc 0.662 0.662 0.014
Tc 0.338 0.338 0.986
Tc 0.500 0.500 0.500
Tc 0.410 0.410 0.254
Tc 0.926 0.410 0.254
Tc 0.410 0.926 0.254
Tc 0.590 0.590 0.746
Tc 0.590 0.074 0.746
Tc 0.074 0.590 0.746

Calculated values
Space group: R-3m
Calculated formation energy in eV/atom: -0.0756
Magnetic moment in μB per cell: 0.00

(2)
Er2ThTc after structural relaxation, computed with PBE.

a = 6.334 Å, b = 7.323 Å, c = 9.418 Å
α = 90.00°, β = 90.00°, γ = 90.00°
Fractional coordinates of all 16 atoms:
Er 0.168 0.675 0.066
Er 0.332 0.175 0.434
Er 0.832 0.325 0.566
Er 0.668 0.825 0.934
Er 0.832 0.325 0.934
Er 0.668 0.825 0.566
Er 0.168 0.675 0.434
Er 0.332 0.175 0.066
Th 0.640 0.548 0.250
Th 0.860 0.048 0.250
Th 0.360 0.452 0.750
Th 0.140 0.952 0.750
Tc 0.018 0.371 0.250
Tc 0.482 0.871 0.250
Tc 0.982 0.629 0.750
Tc 0.518 0.129 0.750

Calculated values
Space group: Pnma
Calculated formation energy in eV/atom: -0.1801
Magnetic moment in μB per cell: 0.00